# 1
# KLiTa2 | the Alexandria database | meta-GGA SCAN | PBEsol geometry
# - total DFT energy (no corrections) (eV per cell) = -139.66
# - energy of formation from the pure elements (meV/atom) = 1055
# - space group = No. 123
data_KLiTa2
_space_group_name_H-M_alt 'P 1'
_space_group_IT_number 1
_cell_length_a 2.7344
_cell_length_b 2.7344
_cell_length_c 10.8022
_cell_angle_alpha 90.00
_cell_angle_beta 90.00
_cell_angle_gamma 90.00
loop_
_space_group_symop_operation_xyz
'x,y,z'
loop_
_atom_site_label
_atom_site_fract_x
_atom_site_fract_y
_atom_site_fract_z
Li1 0.5000 0.5000 0.5000
K1 0.5000 0.5000 0.0000
Ta1 0.0000 0.0000 0.3029
Ta2 0.0000 0.0000 0.6971

# 2
# Na6Co2C4SO16 | the Alexandria database | meta-GGA SCAN | PBEsol geometry
# - energy relative to the elements, uncorrected (eV/atom) = -1.7387
# - total DFT energy (no corrections) (eV per cell) = -520.10
# - space group = No. 203
data_Na6Co2C4SO16
_space_group_name_H-M_alt 'P 1'
_space_group_IT_number 1
_cell_length_a 9.7759
_cell_length_b 9.7759
_cell_length_c 9.7759
_cell_angle_alpha 60.00
_cell_angle_beta 60.00
_cell_angle_gamma 60.00
loop_
_space_group_symop_operation_xyz
'x,y,z'
loop_
_atom_site_label
_atom_site_fract_x
_atom_site_fract_y
_atom_site_fract_z
O1 0.7791 0.2636 0.4322
O2 0.8178 0.7250 0.4709
C1 0.4732 0.8423 0.8423
O3 0.1877 0.1877 0.1877
O4 0.4322 0.5250 0.7791
Na1 0.4676 0.0324 0.0324
O5 0.7250 0.4709 0.8178
O6 0.2636 0.4322 0.7791
Na2 0.2176 0.2176 0.7824
O7 0.8178 0.9864 0.7250
O8 0.1877 0.4369 0.1877
C2 0.8423 0.4732 0.8423
O9 0.4709 0.7250 0.9864
O10 0.4709 0.9864 0.8178
C3 0.7768 0.4077 0.4077
O11 0.2636 0.7791 0.5250
S1 0.2500 0.2500 0.2500
C4 0.8423 0.8423 0.8423
O12 0.7250 0.9864 0.4709
O13 0.1877 0.1877 0.4369
C5 0.8423 0.8423 0.4732
O14 0.5250 0.7791 0.4322
O15 0.7791 0.5250 0.2636
O16 0.4322 0.2636 0.5250
O17 0.9864 0.7250 0.8178
O18 0.7250 0.8178 0.9864
O19 0.5250 0.2636 0.7791
Na3 0.4676 0.4676 0.0324
O20 0.4709 0.8178 0.7250
C6 0.4077 0.7768 0.4077
Na4 0.7824 0.7824 0.2176
Na5 0.2176 0.7824 0.2176
O21 0.0623 0.0623 0.0623
O22 0.8131 0.0623 0.0623
Na6 0.7824 0.2176 0.7824
C7 0.4077 0.4077 0.4077
S2 0.0000 0.0000 0.0000
O23 0.0623 0.0623 0.8131
O24 0.2636 0.5250 0.4322
Co1 0.1250 0.6250 0.6250
O25 0.5250 0.4322 0.2636
Na7 0.0324 0.4676 0.0324
O26 0.4369 0.1877 0.1877
Co2 0.6250 0.6250 0.6250
O27 0.4322 0.7791 0.2636
Na8 0.7824 0.2176 0.2176
O28 0.9864 0.8178 0.4709
Na9 0.0324 0.4676 0.4676
Na10 0.4676 0.0324 0.4676
Na11 0.0324 0.0324 0.4676
O29 0.7791 0.4322 0.5250
Na12 0.2176 0.7824 0.7824
O30 0.8178 0.4709 0.9864
Co3 0.6250 0.6250 0.1250
O31 0.9864 0.4709 0.7250
C8 0.4077 0.4077 0.7768
O32 0.0623 0.8131 0.0623
Co4 0.6250 0.1250 0.6250

# 3
# LaZrCd2 | the Alexandria database | meta-GGA SCAN | PBEsol geometry
# - total DFT energy (no corrections) (eV per cell) = -135.23
# - energy of formation from the pure elements (meV/atom) = -149
# - space group = No. 123
data_LaZrCd2
_space_group_name_H-M_alt 'P 1'
_space_group_IT_number 1
_cell_length_a 3.1908
_cell_length_b 5.5029
_cell_length_c 5.5029
_cell_angle_alpha 90.00
_cell_angle_beta 90.00
_cell_angle_gamma 90.00
loop_
_space_group_symop_operation_xyz
'x,y,z'
loop_
_atom_site_label
_atom_site_fract_x
_atom_site_fract_y
_atom_site_fract_z
Cd1 0.0000 0.5000 0.0000
Zr1 0.5000 0.0000 0.0000
Cd2 0.0000 0.0000 0.5000
La1 0.5000 0.5000 0.5000

# 4
# Na6Be8O11 | the Alexandria database | meta-GGA SCAN | PBEsol geometry
# - energy relative to the elements, uncorrected (eV/atom) = -2.4633
# - total DFT energy (no corrections) (eV per cell) = -190.24
# - space group = No. 2
data_Na6Be8O11
_space_group_name_H-M_alt 'P 1'
_space_group_IT_number 1
_cell_length_a 5.2281
_cell_length_b 6.4015
_cell_length_c 8.2318
_cell_angle_alpha 103.04
_cell_angle_beta 94.54
_cell_angle_gamma 102.72
loop_
_space_group_symop_operation_xyz
'x,y,z'
loop_
_atom_site_label
_atom_site_fract_x
_atom_site_fract_y
_atom_site_fract_z
O1 0.7905 0.2556 0.8484
Na1 0.0339 0.2590 0.5838
Na2 0.7781 0.6141 0.0005
Na3 0.1971 0.7732 0.7835
O2 0.7415 0.8269 0.6885
O3 0.2095 0.7444 0.1516
O4 0.5731 0.5212 0.2184
Be1 0.4747 0.1350 0.4489
Be2 0.4444 0.4274 0.3637
Be3 0.5253 0.8650 0.5511
O5 0.3328 0.6149 0.4895
O6 0.0000 0.0000 0.0000
Be4 0.8351 0.0256 0.8467
Na4 0.8029 0.2268 0.2165
Be5 0.1649 0.9744 0.1533
O7 0.6672 0.3851 0.5105
Na5 0.9661 0.7410 0.4162
O8 0.4269 0.4788 0.7816
Na6 0.2219 0.3859 0.9995
O9 0.6366 0.9490 0.3862
Be6 0.4596 0.7315 0.2585
O10 0.2585 0.1731 0.3115
Be7 0.5404 0.2685 0.7415
O11 0.3634 0.0510 0.6138
Be8 0.5556 0.5726 0.6363

Which of these has the highest total DFT energy (no corrections)?
LaZrCd2

Number 3 is which compound?
LaZrCd2